DFT (PBE-GGA) results for an optimized crystal structure of AlCd2Pd3.

CIF file:
```
data_AlCd2Pd3
_chemical_formula_sum 'Al2 Cd4 Pd6'
_cell_length_a 4.343
_cell_length_b 7.019
_cell_length_c 6.815
_cell_angle_alpha 90.00
_cell_angle_beta 106.65
_cell_angle_gamma 90.00
_symmetry_space_group_name_H-M 'P 1 2/m 1'
_symmetry_Int_Tables_number 10
_symmetry_space_group_name_Hall '-P 2y'
loop_
_atom_site_label
_atom_site_type_symbol
_atom_site_fract_x
_atom_site_fract_y
_atom_site_fract_z
Al1 Al 0.165 0.000 0.327
Cd1 Cd 0.168 0.500 0.334
Cd2 Cd 0.500 0.000 0.000
Cd3 Cd 0.500 0.500 0.000
Pd1 Pd 0.000 0.235 0.000
Pd2 Pd 0.323 0.218 0.651
```

## Properties
The energy of formation from the pure elements is -564 meV per atom.


DFT (PBE-GGA) results for an optimized crystal structure of CeTmPu2.

CIF file:
```
data_CeTmPu2
_chemical_formula_sum 'Ce3 Tm3 Pu6'
_cell_length_a 3.4167
_cell_length_b 3.4167
_cell_length_c 33.2134
_cell_angle_alpha 90.00
_cell_angle_beta 90.00
_cell_angle_gamma 120.00
_symmetry_space_group_name_H-M 'R 3 m'
_symmetry_Int_Tables_number 160
_symmetry_space_group_name_Hall 'R 3 -2"'
loop_
_atom_site_label
_atom_site_type_symbol
_atom_site_fract_x
_atom_site_fract_y
_atom_site_fract_z
Ce1 Ce 0.0000 0.0000 0.0000
Tm1 Tm 0.0000 0.0000 0.8358
Pu1 Pu 0.0000 0.0000 0.2535
Pu2 Pu 0.0000 0.0000 0.4180
```

## Properties
The calculation puts the energy above the most stable polymorph in this dataset at 0.0428 eV per atom. The energy of formation from the pure elements is 183 meV per atom.


DFT (PBE-GGA) results for an optimized crystal structure of YGa4Au12.

CIF file:
```
data_YGa4Au12
_chemical_formula_sum 'Y2 Ga8 Au24'
_cell_length_a 8.978
_cell_length_b 8.978
_cell_length_c 8.978
_cell_angle_alpha 90.00
_cell_angle_beta 90.00
_cell_angle_gamma 90.00
_symmetry_space_group_name_H-M 'I m -3'
_symmetry_Int_Tables_number 204
_symmetry_space_group_name_Hall '-I 2 2 3'
loop_
_atom_site_label
_atom_site_type_symbol
_atom_site_fract_x
_atom_site_fract_y
_atom_site_fract_z
Y1 Y 0.000 0.000 0.000
Ga1 Ga 0.250 0.250 0.250
Au1 Au 0.000 0.342 0.154
```

## Properties
The energy of formation from the pure elements is -69 meV per atom.


DFT (PBE-GGA) results for an optimized crystal structure of Cs2MgTl2.

CIF file:
```
data_Cs2MgTl2
_chemical_formula_sum 'Cs4 Mg2 Tl4'
_cell_length_a 4.559
_cell_length_b 4.559
_cell_length_c 24.912
_cell_angle_alpha 90.00
_cell_angle_beta 90.00
_cell_angle_gamma 90.00
_symmetry_space_group_name_H-M 'I 4/m m m'
_symmetry_Int_Tables_number 139
_symmetry_space_group_name_Hall '-I 4 2'
loop_
_atom_site_label
_atom_site_type_symbol
_atom_site_fract_x
_atom_site_fract_y
_atom_site_fract_z
Cs1 Cs 0.000 0.000 0.109
Mg1 Mg 0.000 0.000 0.500
Tl1 Tl 0.000 0.500 0.250
```

## Properties
The calculation puts the energy above the most stable polymorph in this dataset at 0.2063 eV per atom. The energy of formation from the pure elements is 142 meV per atom.


DFT (PBE-GGA) results for an optimized crystal structure of La2ScInC.

CIF file:
```
data_La2ScInC
_chemical_formula_sum 'La2 Sc1 In1 C1'
_cell_length_a 6.309
_cell_length_b 6.309
_cell_length_c 3.963
_cell_angle_alpha 90.00
_cell_angle_beta 90.00
_cell_angle_gamma 90.00
_symmetry_space_group_name_H-M 'P 4/m m m'
_symmetry_Int_Tables_number 123
_symmetry_space_group_name_Hall '-P 4 2'
loop_
_atom_site_label
_atom_site_type_symbol
_atom_site_fract_x
_atom_site_fract_y
_atom_site_fract_z
La1 La 0.000 0.500 0.000
Sc1 Sc 0.000 0.000 0.500
In1 In 0.500 0.500 0.000
C1 C 0.500 0.500 0.500
```

## Properties
The calculation puts the energy above the most stable polymorph in this dataset at 1.5030 eV per atom. The energy of formation from the pure elements is 1128 meV per atom.


DFT (PBE-GGA) results for an optimized crystal structure of KReP.

CIF file:
```
data_KReP
_chemical_formula_sum 'K4 Re4 P4'
_cell_length_a 6.254
_cell_length_b 6.254
_cell_length_c 6.254
_cell_angle_alpha 90.00
_cell_angle_beta 90.00
_cell_angle_gamma 90.00
_symmetry_space_group_name_H-M 'F -4 3 m'
_symmetry_Int_Tables_number 216
_symmetry_space_group_name_Hall 'F -4 2 3'
loop_
_atom_site_label
_atom_site_type_symbol
_atom_site_fract_x
_atom_site_fract_y
_atom_site_fract_z
K1 K 0.000 0.000 0.000
Re1 Re 0.000 0.000 0.500
P1 P 0.250 0.250 0.250
```

## Properties
The energy of formation from the pure elements is 1388 meV per atom.


DFT (PBE-GGA) results for an optimized crystal structure of Ca3CdPd8.

CIF file:
```
data_Ca3CdPd8
_chemical_formula_sum 'Ca9 Cd3 Pd24'
_cell_length_a 5.4380
_cell_length_b 5.4380
_cell_length_c 26.5402
_cell_angle_alpha 90.00
_cell_angle_beta 90.00
_cell_angle_gamma 120.00
_symmetry_space_group_name_H-M 'R 3 m'
_symmetry_Int_Tables_number 160
_symmetry_space_group_name_Hall 'R 3 -2"'
loop_
_atom_site_label
_atom_site_type_symbol
_atom_site_fract_x
_atom_site_fract_y
_atom_site_fract_z
Ca1 Ca 0.0000 0.0000 0.0000
Ca2 Ca 0.0000 0.0000 0.1285
Ca3 Ca 0.0000 0.0000 0.5089
Cd1 Cd 0.0000 0.0000 0.6303
Pd1 Pd 0.0000 0.0000 0.3164
Pd2 Pd 0.0000 0.0000 0.8167
Pd3 Pd 0.0000 0.5000 0.5670
Pd4 Pd 0.1673 0.3346 0.3994
```

## Properties
The energy of formation from the pure elements is -594 meV per atom.


DFT (PBE-GGA) results for an optimized crystal structure of TlIn2Ge2.

CIF file:
```
data_TlIn2Ge2
_chemical_formula_sum 'Tl2 In4 Ge4'
_cell_length_a 4.715
_cell_length_b 4.715
_cell_length_c 12.076
_cell_angle_alpha 90.00
_cell_angle_beta 90.00
_cell_angle_gamma 90.00
_symmetry_space_group_name_H-M 'I 4/m m m'
_symmetry_Int_Tables_number 139
_symmetry_space_group_name_Hall '-I 4 2'
loop_
_atom_site_label
_atom_site_type_symbol
_atom_site_fract_x
_atom_site_fract_y
_atom_site_fract_z
Tl1 Tl 0.000 0.000 0.000
In1 In 0.000 0.000 0.382
Ge1 Ge 0.000 0.500 0.250
```

## Properties
The energy of formation from the pure elements is 155 meV per atom.